DFT (PBE) results for crystalline Zn3SbBr4 at its relaxed geometry.

a b c (Å): 7.6777 7.6777 3.6377
angles (deg): 103.63 103.63 68.48
Atoms (fractional coordinates):
Br 0.5471 0.1803 0.3630
Br 0.1803 0.5471 0.3630
Br 0.8197 0.4529 0.6370
Br 0.4529 0.8197 0.6370
Sb 0.0000 0.0000 0.5000
Zn 0.5000 0.5000 0.0000
Zn 0.1843 0.1843 0.1842
Zn 0.8157 0.8157 0.8158

Properties
calculated density	5.54	g cm⁻³
raw total energy	-1.927	eV per atom

***

DFT (PBE) results for crystalline TmScBr6 at its relaxed geometry.

a b c (Å): 6.7144 6.7149 7.2694
angles (deg): 62.50 62.50 60.00
Atoms (fractional coordinates):
Br 0.5775 0.2570 0.2545
Br 0.9110 0.5775 0.2545
Br 0.2570 0.9110 0.2545
Br 0.7430 0.0890 0.7455
Br 0.0890 0.4225 0.7455
Br 0.4225 0.7430 0.7455
Sc 0.5000 0.5000 0.5000
Tm 0.0000 0.0000 0.0000

Properties
calculated density	4.79	g cm⁻³
raw total energy	-4.306	eV per atom
magnetization	0.0000	μB per atom

***

DFT (PBE) results for crystalline Ta3Se8Br6 at its relaxed geometry.

a b c (Å): 7.3344 11.3463 12.9502
angles (deg): 70.95 78.02 82.13
Atoms (fractional coordinates):
Br 0.4298 0.6940 0.0742
Br 0.6876 0.4004 0.1485
Br 0.1841 0.4231 0.1563
Br 0.6118 0.5782 0.3343
Br 0.1250 0.6071 0.3420
Br 0.3643 0.3000 0.4059
Br 0.6357 0.7000 0.5941
Br 0.8750 0.3929 0.6580
Br 0.3882 0.4218 0.6657
Br 0.8159 0.5769 0.8437
Br 0.3124 0.5996 0.8515
Br 0.5702 0.3060 0.9258
Se 0.7249 0.9429 0.0482
Se 0.9957 0.8005 0.0607
Se 0.2254 0.1197 0.1977
Se 0.7342 0.1092 0.2422
Se 0.2552 0.8947 0.2428
Se 0.7749 0.8852 0.3162
Se 0.9347 0.1978 0.4534
Se 0.2901 0.9540 0.4778
Se 0.7099 0.0460 0.5222
Se 0.0653 0.8022 0.5466
Se 0.2251 0.1148 0.6838
Se 0.7448 0.1053 0.7572
Se 0.2658 0.8908 0.7578
Se 0.7746 0.8803 0.8023
Se 0.0043 0.1995 0.9393
Se 0.2751 0.0571 0.9518
Ta 0.9979 0.0028 0.1235
Ta 0.4033 0.5008 0.2444
Ta 0.9985 0.0023 0.3746
Ta 0.0015 0.9977 0.6254
Ta 0.5967 0.4992 0.7556
Ta 0.0021 0.9972 0.8765

Properties
calculated density	5.53	g cm⁻³
raw total energy	-5.005	eV per atom
magnetization	0.0014	μB per atom

***

DFT (PBE) results for crystalline TcSe2Br at its relaxed geometry.

a b c (Å): 6.7136 6.7136 10.3859
angles (deg): 120.53 120.53 30.11
Site moments in Bohr magnetons follow the coordinates.
Atoms (fractional coordinates):
Br 0.1897 0.1897 0.1156  -0.02
Br 0.8103 0.8103 0.8844  -0.02
Se 0.6028 0.6028 0.3255  -0.02
Se 0.9032 0.9032 0.3784  0.02
Se 0.0968 0.0968 0.6216  0.02
Se 0.3972 0.3972 0.6745  -0.02
Tc 0.2621 0.2621 0.4003  0.58
Tc 0.7379 0.7379 0.5997  0.58

Properties
calculated density	5.58	g cm⁻³
raw total energy	-5.110	eV per atom
magnetization	0.1496	μB per atom

***

DFT (PBE) results for crystalline Te3WSeBr at its relaxed geometry.

a b c (Å): 6.7261 8.2681 8.5054
angles (deg): 116.56 104.07 99.21
Atoms (fractional coordinates):
Br 0.7448 0.6261 0.4104
Br 0.2552 0.3739 0.5896
Se 0.0201 0.8557 0.1550
Se 0.9799 0.1443 0.8450
Te 0.4495 0.7401 0.0036
Te 0.1320 0.3245 0.2226
Te 0.6117 0.0985 0.3021
Te 0.3883 0.9015 0.6979
Te 0.8680 0.6755 0.7774
Te 0.5505 0.2599 0.9964
W 0.7831 0.9998 0.0003
W 0.2169 0.0002 0.9997

Properties
energy relative to the lowest polymorph listed for this composition	0.0000	eV/atom
calculated density	6.18	g cm⁻³
magnetization	0.0003	μB per atom

***

DFT (PBE) results for crystalline TeWSe3Br at its relaxed geometry.

a b c (Å): 6.4596 8.0905 8.3755
angles (deg): 118.36 104.73 97.83
Atoms (fractional coordinates):
Br 0.7372 0.6349 0.3944
Br 0.2628 0.3651 0.6056
Se 0.4591 0.7558 0.0039
Se 0.0250 0.8496 0.1516
Se 0.6052 0.0782 0.2807
Se 0.3948 0.9218 0.7193
Se 0.9750 0.1504 0.8484
Se 0.5409 0.2442 0.9961
Te 0.1367 0.3345 0.2413
Te 0.8633 0.6655 0.7587
W 0.7747 0.9999 0.0004
W 0.2253 0.0001 0.9996

Properties
energy relative to the lowest polymorph listed for this composition	0.0000	eV/atom
calculated density	5.88	g cm⁻³
magnetization	0.0003	μB per atom

***

DFT (PBE) results for crystalline Te2WSe2Br at its relaxed geometry.

a b c (Å): 6.5967 7.5955 8.5185
angles (deg): 113.13 103.53 100.24
Atoms (fractional coordinates):
Br 0.7517 0.5962 0.4437
Br 0.2483 0.4038 0.5563
Se 0.4648 0.7650 0.0429
Se 0.0238 0.8589 0.1743
Se 0.9762 0.1411 0.8257
Se 0.5352 0.2350 0.9571
Te 0.1274 0.3452 0.1875
Te 0.6145 0.1236 0.2953
Te 0.3855 0.8764 0.7047
Te 0.8726 0.6548 0.8125
W 0.2206 0.0000 0.0000
W 0.7794 0.0000 0.0000

Properties
energy relative to the lowest polymorph listed for this composition	0.0000	eV/atom
calculated density	6.18	g cm⁻³
magnetization	0.0004	μB per atom

***

DFT (PBE) results for crystalline Te3WSeBr at its relaxed geometry.

a b c (Å): 6.7927 8.0326 8.2394
angles (deg): 100.28 114.13 99.91
Atoms (fractional coordinates):
Br 0.6591 0.7171 0.4190
Br 0.3409 0.2829 0.5810
Se 0.0496 0.8259 0.1701
Se 0.9504 0.1741 0.8299
Te 0.5791 0.2774 0.0438
Te 0.1564 0.2862 0.2006
Te 0.6682 0.0940 0.2999
Te 0.3318 0.9060 0.7001
Te 0.8436 0.7138 0.7994
Te 0.4209 0.7226 0.9562
W 0.2159 0.0008 0.0003
W 0.7841 0.9992 0.9997

Properties
energy relative to the lowest polymorph listed for this composition	0.0199	eV/atom
calculated density	6.20	g cm⁻³
magnetization	0.0005	μB per atom

***

DFT (PBE) results for crystalline Te3WSeBr at its relaxed geometry.

a b c (Å): 6.7151 7.7839 8.7204
angles (deg): 114.84 102.52 101.29
Atoms (fractional coordinates):
Br 0.7553 0.5997 0.4433
Br 0.2447 0.4003 0.5567
Se 0.4634 0.7777 0.0480
Se 0.5366 0.2223 0.9520
Te 0.1289 0.3442 0.1786
Te 0.0268 0.8710 0.1997
Te 0.6147 0.1450 0.2921
Te 0.3853 0.8550 0.7079
Te 0.9732 0.1290 0.8003
Te 0.8711 0.6558 0.8214
W 0.7772 0.0005 0.0002
W 0.2228 0.9995 0.9998

Properties
energy relative to the lowest polymorph listed for this composition	0.0087	eV/atom
calculated density	6.31	g cm⁻³
magnetization	0.0006	μB per atom

***

DFT (PBE) results for crystalline Te2WSe2Br at its relaxed geometry.

a b c (Å): 6.6622 8.1579 8.3647
angles (deg): 117.97 104.09 99.37
Atoms (fractional coordinates):
Br 0.7492 0.6376 0.4161
Br 0.2508 0.3624 0.5839
Se 0.0159 0.8454 0.1486
Se 0.1249 0.3079 0.2105
Se 0.8751 0.6921 0.7895
Se 0.9841 0.1546 0.8514
Te 0.4472 0.7355 0.0014
Te 0.6173 0.1126 0.3116
Te 0.3827 0.8874 0.6884
Te 0.5528 0.2645 0.9986
W 0.7851 0.9996 0.0003
W 0.2149 0.0004 0.9997

Properties
energy relative to the lowest polymorph listed for this composition	0.0485	eV/atom
calculated density	6.10	g cm⁻³
magnetization	0.0003	μB per atom

***

DFT (PBE) results for crystalline Te2WSe2Br at its relaxed geometry.

a b c (Å): 6.6021 8.1329 8.4182
angles (deg): 111.43 112.98 97.66
Atoms (fractional coordinates):
Br 0.6566 0.7525 0.3895
Br 0.3434 0.2475 0.6105
Se 0.5416 0.2432 0.0020
Se 0.6712 0.1917 0.2783
Se 0.3288 0.8083 0.7217
Se 0.4584 0.7568 0.9980
Te 0.1368 0.3252 0.1690
Te 0.1044 0.9056 0.2411
Te 0.8956 0.0944 0.7589
Te 0.8632 0.6748 0.8310
W 0.2276 0.0008 0.0007
W 0.7724 0.9992 0.9993

Properties
energy relative to the lowest polymorph listed for this composition	0.0598	eV/atom
calculated density	6.13	g cm⁻³
magnetization	0.0005	μB per atom

***

DFT (PBE) results for crystalline Te2WSe2Br at its relaxed geometry.

a b c (Å): 6.6190 7.8999 8.3117
angles (deg): 109.48 113.38 98.50
Atoms (fractional coordinates):
Br 0.6661 0.7655 0.4098
Br 0.3339 0.2345 0.5902
Se 0.5450 0.2456 0.0023
Se 0.0886 0.8944 0.2144
Se 0.9114 0.1056 0.7856
Se 0.4550 0.7544 0.9977
Te 0.1387 0.3330 0.1614
Te 0.6899 0.1938 0.3103
Te 0.3101 0.8062 0.6897
Te 0.8613 0.6670 0.8386
W 0.2201 0.0008 0.0006
W 0.7799 0.9992 0.9994

Properties
energy relative to the lowest polymorph listed for this composition	0.0678	eV/atom
calculated density	6.32	g cm⁻³
magnetization	0.0005	μB per atom